[1]
Material: PdPt2Rh
Method: DFT, GGA-PBE
State: optimized geometry

Geometry as POSCAR:
```
PdPt2Rh
1.0
-1.5544 -2.0589 2.9230
1.4422 -3.5098 0.8946
3.4287 0.4524 4.7419
Pt Pd Rh
2 1 1
direct
0.2516 0.2516 0.2453 Pt
0.0856 0.0856 0.7433 Pt
0.6667 0.6667 0.0000 Pd
0.4962 0.4962 0.5114 Rh
```

[2]
PdPt4Rh4, optimized geometry, DFT GGA-PBE; energy relative to the lowest polymorph listed for this composition = 0.000 kcal/mol of atoms
1.0
3.6851 0.0000 1.2480
1.8425 5.8811 0.6240
-0.0439 0.0000 6.1943
Rh Pt Pd
4 4 1
direct
0.6670 0.6660 0.0000 Rh
0.3330 0.3340 0.0000 Rh
0.6670 0.0000 0.6660 Rh
0.3330 0.0000 0.3340 Rh
0.6697 0.3303 0.3303 Pt
0.0000 0.6697 0.3303 Pt
0.3303 0.6697 0.6697 Pt
0.0000 0.3303 0.6697 Pt
0.0000 0.0000 0.0000 Pd

[3]
Material: Pd6Pt4Rh
Method: DFT, GGA-PBE
State: optimized geometry

Geometry as POSCAR:
```
Pd6Pt4Rh
1.0
-3.8075 -4.5427 -3.2495
5.4770 3.0336 -2.5480
4.3698 -1.4098 4.9609
Pt Pd Rh
4 6 1
direct
0.0000 0.0927 0.6182 Pt
0.5254 0.9073 0.9073 Pt
0.0000 0.6182 0.0927 Pt
0.4746 0.3818 0.3818 Pt
0.0000 0.7790 0.4538 Pd
0.5000 0.5000 0.0000 Pd
0.6748 0.2210 0.2210 Pd
0.5000 0.0000 0.5000 Pd
0.0000 0.4538 0.7790 Pd
0.3252 0.5462 0.5462 Pd
0.0000 0.0000 0.0000 Rh
```

[4]
Pd3Pt4Rh2, optimized geometry, DFT GGA-PBE; energy relative to the lowest polymorph listed for this composition = 4.248 kcal/mol of atoms
1.0
5.4680 -0.4340 0.0000
-2.9256 4.6399 0.0000
-1.2712 -2.1029 5.9251
Rh Pt Pd
2 4 3
direct
0.6112 0.6112 0.2224 Rh
0.3888 0.3888 0.7776 Rh
0.6682 0.9435 0.6116 Pt
0.3318 0.0565 0.3884 Pt
0.9435 0.6682 0.6116 Pt
0.0565 0.3318 0.3884 Pt
0.0000 0.5000 0.0000 Pd
0.5000 0.0000 0.0000 Pd
0.0000 0.0000 0.0000 Pd

[5]
Material: Pd5Pt5Rh2
Method: DFT, GGA-PBE
State: optimized geometry

Geometry as POSCAR:
```
Pd5Pt5Rh2
1.0
3.8326 0.0000 0.9434
1.6880 8.0745 1.3991
0.5199 0.7545 6.1445
Pd Rh Pt
5 2 5
direct
0.9175 0.7462 0.4188 Pd
0.2510 0.7473 0.7507 Pd
0.7490 0.2527 0.2493 Pd
0.0000 0.0000 0.0000 Pd
0.0825 0.2538 0.5812 Pd
0.8304 0.4993 0.8400 Rh
0.1696 0.5007 0.1600 Rh
0.4146 0.2552 0.9155 Pt
0.5000 0.5000 0.5000 Pt
0.5854 0.7448 0.0845 Pt
0.6660 0.0004 0.6675 Pt
0.3340 0.9996 0.3325 Pt
```

[6]
Pd3Pt4Rh2, optimized geometry, DFT GGA-PBE; energy relative to the lowest polymorph listed for this composition = 0.000 kcal/mol of atoms
1.0
2.6429 0.0000 -0.7369
-0.5144 7.3206 -1.8424
0.4978 0.4617 6.9094
Pt Pd Rh
4 3 2
direct
0.1732 0.2424 0.3477 Pt
0.8268 0.7576 0.6523 Pt
0.4906 0.6739 0.9797 Pt
0.5094 0.3261 0.0203 Pt
0.0000 0.0000 0.0000 Pd
0.1568 0.5934 0.3135 Pd
0.8432 0.4066 0.6865 Pd
0.6670 0.9227 0.3343 Rh
0.3330 0.0773 0.6657 Rh

[7]
PdPtRh6, optimized geometry, DFT GGA-PBE; energy relative to the lowest polymorph listed for this composition = 0.116 kcal/mol of atoms
1.0
3.8704 0.0000 0.0000
0.0000 3.8704 0.0000
0.0000 0.0000 7.7395
Rh Pd Pt
6 1 1
direct
0.5000 0.5000 0.0000 Rh
0.5000 0.0000 0.2513 Rh
0.5000 0.0000 0.7487 Rh
0.5000 0.5000 0.5000 Rh
0.0000 0.5000 0.2513 Rh
0.0000 0.5000 0.7487 Rh
0.0000 0.0000 0.0000 Pd
0.0000 0.0000 0.5000 Pt

[8]
PdPtRh4, optimized geometry, DFT GGA-PBE; energy relative to the lowest polymorph listed for this composition = 4.666 kcal/mol of atoms
1.0
-4.2693 1.0181 -1.3865
0.5192 -5.3345 2.4120
-0.9354 4.7546 6.3446
Rh Pd Pt
8 2 2
direct
0.5044 0.5062 0.3347 Rh
0.7617 0.0196 0.0872 Rh
0.0041 0.5062 0.8347 Rh
0.2616 0.0197 0.5871 Rh
0.7384 0.9803 0.4129 Rh
0.2383 0.9804 0.9128 Rh
0.9959 0.4938 0.1653 Rh
0.4956 0.4938 0.6653 Rh
0.0000 0.5000 0.5000 Pd
0.5000 0.5000 0.0000 Pd
0.7499 0.0000 0.7500 Pt
0.2501 0.0000 0.2500 Pt

Number 1: total magnetization 0.000 μB per atom, calculated formation energy 0.48 eV/atom, DFT total energy -5.673 eV per atom. Number 2: total magnetization 0.001 μB per atom, calculated formation energy 0.00 eV/atom, DFT total energy -6.529 eV per atom. Number 3: total magnetization 0.001 μB per atom, calculated formation energy 0.48 eV/atom, DFT total energy -5.219 eV per atom. Number 4: total magnetization 0.000 μB per atom, calculated formation energy 0.24 eV/atom, DFT total energy -5.810 eV per atom. Number 5: total magnetization 0.304 μB per atom, calculated formation energy 0.00 eV/atom, DFT total energy -5.908 eV per atom. Number 6: total magnetization 0.132 μB per atom, calculated formation energy 0.06 eV/atom, DFT total energy -5.994 eV per atom. Number 7: total magnetization 0.000 μB per atom, calculated formation energy 0.04 eV/atom, DFT total energy -6.883 eV per atom. Number 8: total magnetization 0.000 μB per atom, calculated formation energy 0.40 eV/atom, DFT total energy -6.369 eV per atom.